(1)
Computed, not measured: a relaxed structure of RbSbTe2Ir at the GGA-PBE level of DFT.

```
data_RbSbTe2Ir
_chemical_formula_sum 'Rb1 Sb1 Te2 Ir1'
_symmetry_space_group_name_H-M 'P 4/m m m'
_symmetry_Int_Tables_number 123
_symmetry_space_group_name_Hall '-P 4 2'
_cell_length_a 5.683
_cell_length_b 5.683
_cell_length_c 5.002
_cell_angle_alpha 90.00
_cell_angle_beta 90.00
_cell_angle_gamma 90.00
loop_
_atom_site_label
_atom_site_type_symbol
_atom_site_fract_x
_atom_site_fract_y
_atom_site_fract_z
Rb1 Rb 0.000 0.000 0.000
Sb1 Sb 0.500 0.500 0.000
Te1 Te 0.000 0.500 0.500
Ir1 Ir 0.500 0.500 0.500
```

Computed properties:
- M_tot (Bohr magnetons per cell) = 0.00
- DOS(E_F) (states/eV per cell) = 5.779
- E_form (uncorrected) (eV/atom) = 0.0160
- relative energy among the computed polymorphs (eV/atom) = 0.000

(2)
Computed, not measured: a relaxed structure of SnHgCl2 at the GGA-PBE level of DFT.

```
data_SnHgCl2
_chemical_formula_sum 'Sn3 Hg3 Cl6'
_symmetry_space_group_name_H-M 'R 3 m'
_symmetry_Int_Tables_number 160
_symmetry_space_group_name_Hall 'R 3 -2"'
_cell_length_a 4.2596
_cell_length_b 4.2596
_cell_length_c 29.1977
_cell_angle_alpha 90.00
_cell_angle_beta 90.00
_cell_angle_gamma 120.00
loop_
_atom_site_label
_atom_site_type_symbol
_atom_site_fract_x
_atom_site_fract_y
_atom_site_fract_z
Sn1 Sn 0.0000 0.0000 0.0000
Hg1 Hg 0.0000 0.0000 0.8340
Cl1 Cl 0.0000 0.0000 0.3851
Cl2 Cl 0.0000 0.0000 0.6151
```

Computed properties:
- M_tot (Bohr magnetons per cell) = 0.00
- DOS(E_F) (states/eV per cell) = 0.000
- E_form (uncorrected) (eV/atom) = -0.6971
- relative energy among the computed polymorphs (eV/atom) = 0.001

(3)
Computed, not measured: a relaxed structure of ZrHgMo2 at the GGA-PBE level of DFT.

```
data_ZrHgMo2
_chemical_formula_sum 'Zr3 Hg3 Mo6'
_symmetry_space_group_name_H-M 'R 3 m'
_symmetry_Int_Tables_number 160
_symmetry_space_group_name_Hall 'R 3 -2"'
_cell_length_a 3.1390
_cell_length_b 3.1390
_cell_length_c 27.0596
_cell_angle_alpha 90.00
_cell_angle_beta 90.00
_cell_angle_gamma 120.00
loop_
_atom_site_label
_atom_site_type_symbol
_atom_site_fract_x
_atom_site_fract_y
_atom_site_fract_z
Zr1 Zr 0.0000 0.0000 0.0000
Hg1 Hg 0.0000 0.0000 0.2397
Mo1 Mo 0.0000 0.0000 0.4836
Mo2 Mo 0.0000 0.0000 0.7485
```

Computed properties:
- M_tot (Bohr magnetons per cell) = 0.00
- DOS(E_F) (states/eV per cell) = 12.700
- energy relative to the elements (eV/atom) = 0.25

(4)
Computed, not measured: a relaxed structure of ErThSi at the GGA-PBE level of DFT.

```
data_ErThSi
_chemical_formula_sum 'Er4 Th4 Si4'
_symmetry_space_group_name_H-M 'F -4 3 m'
_symmetry_Int_Tables_number 216
_symmetry_space_group_name_Hall 'F -4 2 3'
_cell_length_a 6.910
_cell_length_b 6.910
_cell_length_c 6.910
_cell_angle_alpha 90.00
_cell_angle_beta 90.00
_cell_angle_gamma 90.00
loop_
_atom_site_label
_atom_site_type_symbol
_atom_site_fract_x
_atom_site_fract_y
_atom_site_fract_z
Er1 Er 0.000 0.000 0.000
Th1 Th 0.000 0.000 0.500
Si1 Si 0.250 0.250 0.750
```

Computed properties:
- M_tot (Bohr magnetons per cell) = 0.00
- DOS(E_F) (states/eV per cell) = 8.450
- E_form (uncorrected) (eV/atom) = -0.3233
- relative energy among the computed polymorphs (eV/atom) = 0.000

(5)
Computed, not measured: a relaxed structure of Re2AsAu2 at the GGA-PBE level of DFT.

```
data_Re2AsAu2
_chemical_formula_sum 'Re4 As2 Au4'
_symmetry_space_group_name_H-M 'P 4/m b m'
_symmetry_Int_Tables_number 127
_symmetry_space_group_name_Hall '-P 4 2ab'
_cell_length_a 8.156
_cell_length_b 8.156
_cell_length_c 2.784
_cell_angle_alpha 90.00
_cell_angle_beta 90.00
_cell_angle_gamma 90.00
loop_
_atom_site_label
_atom_site_type_symbol
_atom_site_fract_x
_atom_site_fract_y
_atom_site_fract_z
Re1 Re 0.102 0.398 0.000
As1 As 0.000 0.000 0.500
Au1 Au 0.190 0.690 0.500
```

Computed properties:
- M_tot (Bohr magnetons per cell) = 0.00
- DOS(E_F) (states/eV per cell) = 10.148
- relative energy among the computed polymorphs (eV/atom) = 0.090
- energy relative to the elements (eV/atom) = 0.81

(6)
Computed, not measured: a relaxed structure of HoTmB at the GGA-PBE level of DFT.

```
data_HoTmB
_chemical_formula_sum 'Ho18 Tm18 B18'
_symmetry_space_group_name_H-M 'R -3'
_symmetry_Int_Tables_number 148
_symmetry_space_group_name_Hall '-R 3'
_cell_length_a 11.0507
_cell_length_b 11.0507
_cell_length_c 11.8493
_cell_angle_alpha 90.00
_cell_angle_beta 90.00
_cell_angle_gamma 120.00
loop_
_atom_site_label
_atom_site_type_symbol
_atom_site_fract_x
_atom_site_fract_y
_atom_site_fract_z
Ho1 Ho 0.0293 0.8323 0.3813
Tm1 Tm 0.0203 0.8134 0.8881
B1 B 0.0496 0.7794 0.6875
```

Computed properties:
- M_tot (Bohr magnetons per cell) = 0.00
- DOS(E_F) (states/eV per cell) = 34.474
- energy relative to the elements (eV/atom) = 0.03

(7)
Computed, not measured: a relaxed structure of HfGa3Si at the GGA-PBE level of DFT.

```
data_HfGa3Si
_chemical_formula_sum 'Hf1 Ga3 Si1'
_symmetry_space_group_name_H-M 'P m -3 m'
_symmetry_Int_Tables_number 221
_symmetry_space_group_name_Hall '-P 4 2 3'
_cell_length_a 5.166
_cell_length_b 5.166
_cell_length_c 5.166
_cell_angle_alpha 90.00
_cell_angle_beta 90.00
_cell_angle_gamma 90.00
loop_
_atom_site_label
_atom_site_type_symbol
_atom_site_fract_x
_atom_site_fract_y
_atom_site_fract_z
Hf1 Hf 0.000 0.000 0.000
Ga1 Ga 0.000 0.000 0.500
Si1 Si 0.500 0.500 0.500
```

Computed properties:
- M_tot (Bohr magnetons per cell) = 0.00
- DOS(E_F) (states/eV per cell) = 3.832
- E_form (uncorrected) (eV/atom) = 0.9167
- relative energy among the computed polymorphs (eV/atom) = 0.329

(8)
Computed, not measured: a relaxed structure of BaSmGa4 at the GGA-PBE level of DFT.

```
data_BaSmGa4
_chemical_formula_sum 'Ba2 Sm2 Ga8'
_symmetry_space_group_name_H-M 'I -4 m 2'
_symmetry_Int_Tables_number 119
_symmetry_space_group_name_Hall 'I -4 -2'
_cell_length_a 4.408
_cell_length_b 4.408
_cell_length_c 15.653
_cell_angle_alpha 90.00
_cell_angle_beta 90.00
_cell_angle_gamma 90.00
loop_
_atom_site_label
_atom_site_type_symbol
_atom_site_fract_x
_atom_site_fract_y
_atom_site_fract_z
Ba1 Ba 0.000 0.000 0.000
Sm1 Sm 0.000 0.500 0.750
Ga1 Ga 0.000 0.000 0.410
Ga2 Ga 0.000 0.500 0.172
```

Computed properties:
- M_tot (Bohr magnetons per cell) = 0.00
- DOS(E_F) (states/eV per cell) = 11.210
- relative energy among the computed polymorphs (eV/atom) = 0.000
- energy relative to the elements (eV/atom) = -0.48